DFT (GGA+U) results for InFe2O after structural relaxation.

a = 6.201 Å, b = 6.201 Å, c = 7.833 Å
α = 90.00°, β = 90.00°, γ = 90.00°
Space group I-42d (No. 122)
One atom of each set of equivalent atoms:
In1 0.000 0.000 0.000 x4
Fe1 0.126 0.250 0.625 x8
O1 0.000 0.000 0.500 x4

Calculated values
* DOS(E_F): 0.530 states/eV per atom
* crystal system: tetragonal
* E above lowest polymorph: 0.000 kcal/mol of atoms
* calculated volume: 75.3 Å³/f.u.
* magnetic moment: 29.1 μB per cell